1.
## Dy3Ga5O12 (PBE)

Data for Dy3Ga5O12 after structural relaxation.

a = 10.7453 Å, b = 10.7453 Å, c = 10.7453 Å
α = 109.47°, β = 109.47°, γ = 109.47°
Fractional coordinates of all 80 atoms:
Ga (0.5000, 0.5000, 0.5000)
O (0.9173, 0.2938, 0.3226)
O (0.2062, 0.5827, 0.1774)
Ga (0.0000, 0.5000, 0.0000)
O (0.2938, 0.4712, 0.3765)
O (0.8765, 0.4053, 0.0827)
Dy (0.6250, 0.8750, 0.7500)
O (0.2062, 0.1235, 0.0288)
O (0.4712, 0.5947, 0.1774)
O (0.0827, 0.7062, 0.6774)
Dy (0.7500, 0.1250, 0.3750)
Ga (0.1250, 0.8750, 0.2500)
Ga (0.5000, 0.0000, 0.5000)
Dy (0.3750, 0.7500, 0.1250)
Dy (0.8750, 0.7500, 0.6250)
O (0.7062, 0.6774, 0.0827)
O (0.6774, 0.0947, 0.9712)
Ga (0.8750, 0.1250, 0.7500)
Dy (0.2500, 0.3750, 0.1250)
Ga (0.1250, 0.7500, 0.8750)
Dy (0.6250, 0.2500, 0.8750)
O (0.1235, 0.0288, 0.2062)
Ga (0.7500, 0.8750, 0.1250)
O (0.6774, 0.0827, 0.7062)
O (0.0947, 0.9712, 0.6774)
Ga (0.8750, 0.2500, 0.1250)
Dy (0.3750, 0.1250, 0.2500)
Ga (0.5000, 0.5000, 0.0000)
Ga (0.5000, 0.0000, 0.0000)
O (0.8226, 0.7938, 0.4173)
O (0.1774, 0.4712, 0.5947)
Dy (0.1250, 0.2500, 0.3750)
Ga (0.2500, 0.1250, 0.8750)
O (0.4053, 0.8226, 0.5288)
O (0.7938, 0.8765, 0.9712)
O (0.8226, 0.5288, 0.4053)
O (0.2938, 0.3226, 0.9173)
O (0.4712, 0.3765, 0.2938)
O (0.7062, 0.5288, 0.6235)
Dy (0.1250, 0.3750, 0.7500)
O (0.6235, 0.7062, 0.5288)
O (0.0827, 0.8765, 0.4053)
O (0.3226, 0.9173, 0.2938)
Dy (0.8750, 0.6250, 0.2500)
O (0.0288, 0.2062, 0.1235)
Ga (0.2500, 0.6250, 0.3750)
O (0.5288, 0.6235, 0.7062)
O (0.9712, 0.6774, 0.0947)
O (0.4173, 0.0947, 0.6235)
O (0.9053, 0.0288, 0.3226)
O (0.5947, 0.9173, 0.1235)
O (0.9053, 0.3765, 0.5827)
O (0.5288, 0.4053, 0.8226)
O (0.5827, 0.1774, 0.2062)
O (0.0288, 0.3226, 0.9053)
O (0.5947, 0.1774, 0.4712)
Ga (0.0000, 0.5000, 0.5000)
O (0.0947, 0.6235, 0.4173)
O (0.7938, 0.4173, 0.8226)
Ga (0.7500, 0.3750, 0.6250)
O (0.5827, 0.9053, 0.3765)
O (0.6235, 0.4173, 0.0947)
Ga (0.3750, 0.2500, 0.6250)
O (0.3765, 0.2938, 0.4712)
Ga (0.3750, 0.6250, 0.7500)
O (0.9712, 0.7938, 0.8765)
O (0.4053, 0.0827, 0.8765)
Dy (0.2500, 0.8750, 0.6250)
O (0.8765, 0.9712, 0.7938)
O (0.1774, 0.2062, 0.5827)
O (0.3765, 0.5827, 0.9053)
Ga (0.6250, 0.7500, 0.3750)
Dy (0.7500, 0.6250, 0.8750)
Ga (0.0000, 0.0000, 0.0000)
O (0.3226, 0.9053, 0.0288)
Ga (0.0000, 0.0000, 0.5000)
Ga (0.6250, 0.3750, 0.2500)
O (0.9173, 0.1235, 0.5947)
O (0.4173, 0.8226, 0.7938)
O (0.1235, 0.5947, 0.9173)

Its space-group type is Ia-3d. The total moment comes out at 0.0 μB/cell. As for the theoretical density: 7.15 g/cm3. The total energy is -6.98 eV per atom. As for the uncorrected formation energy: -2.557 eV/atom.

***

2.
## Pr8SiPb2 (PBE)

Data for Pr8SiPb2 after structural relaxation.

a = 5.3064 Å, b = 7.0130 Å, c = 10.3046 Å
α = 105.58°, β = 104.92°, γ = 90.00°
Fractional coordinates of all 11 atoms:
Pr (0.3497, 0.0021, 0.6995)
Si (0.5000, 0.0000, 0.0000)
Pr (0.2176, 0.3206, 0.4353)
Pr (0.7824, 0.6794, 0.5647)
Pr (0.9890, 0.2237, 0.9780)
Pb (0.1759, 0.7492, 0.3518)
Pr (0.6503, 0.9979, 0.3005)
Pr (0.0110, 0.7763, 0.0220)
Pb (0.8241, 0.2508, 0.6482)
Pr (0.5882, 0.4604, 0.1765)
Pr (0.4118, 0.5396, 0.8235)

Its space-group type is C2/m. The total moment comes out at 0.0 μB/cell. As for the theoretical density: 7.32 g/cm3. The total energy is -4.95 eV per atom. As for the uncorrected formation energy: -0.309 eV/atom.

***

3.
## Pm5ErN6 (PBE)

Data for Pm5ErN6 after structural relaxation.

a = 6.2072 Å, b = 6.2091 Å, c = 6.2091 Å
α = 60.00°, β = 80.41°, γ = 70.53°
Fractional coordinates of all 12 atoms:
N (0.2459, 0.9181, 0.6738)
Pm (0.5000, 0.1656, 0.6689)
N (0.7541, 0.0819, 0.3262)
Pm (0.0000, 0.6668, 0.6664)
Pm (0.5000, 0.8344, 0.3311)
N (0.7541, 0.4081, 0.6738)
N (0.7533, 0.7559, 0.0000)
Pm (0.5000, 0.5000, 0.0000)
Er (0.0000, 0.0000, 0.0000)
Pm (0.0000, 0.3332, 0.3336)
N (0.2467, 0.2441, 0.0000)
N (0.2459, 0.5919, 0.3262)

Its space-group type is C2/m. The total moment comes out at 0.0 μB/cell. As for the theoretical density: 8.30 g/cm3. The total energy is -8.00 eV per atom. As for the uncorrected formation energy: -1.480 eV/atom.